# Rb2SbWF6

An optimized crystal structure of Rb2SbWF6 (PBE with a Hubbard U, Alexandria).

Results
Calculated volume, A^3/atom: 22.70
Theoretical density, kg/m³: 4320
Final energy, Ha/atom: -0.1734

a b c (Å): 6.2042 6.2042 7.3505
angles (deg): 65.04 65.04 90.00
Closest atoms and distances in Å follow each position.
Element x y z (fractional)
Sb 0.5000 0.5000 0.0000  4 F 2.27
F 0.2407 0.7593 0.0000  1 W 2.11, 1 Sb 2.27
F 0.8216 0.8216 0.3568  1 W 2.10
F 0.2407 0.2407 0.0000  1 W 2.11, 1 Sb 2.27
F 0.7593 0.2407 0.0000  1 W 2.11, 1 Sb 2.27
F 0.7593 0.7593 0.0000  1 W 2.11, 1 Sb 2.27
F 0.1784 0.1784 0.6432  1 W 2.10
W 0.0000 0.0000 0.0000  6 F 2.10-2.11
Rb 0.7500 0.2500 0.5000  4 F 3.21
Rb 0.2500 0.7500 0.5000  4 F 3.21